(1)
The following is a GGA-PBE calculation of a relaxed structure of Cu2Ag7, from the Open Quantum Materials Database.

Geometry as POSCAR:
```
Cu2Ag7
1.0
4.538 -2.036 0.000
4.538 2.036 0.000
-2.642 0.000 8.146
Cu Ag
2 7
Direct
0.174 0.174 0.396
0.826 0.826 0.604
0.165 0.165 0.710
0.169 0.169 0.061
0.495 0.495 0.827
0.500 0.500 0.500
0.505 0.505 0.173
0.831 0.831 0.939
0.835 0.835 0.290
```

Output
As for the energy above the most stable polymorph in this dataset: 30 kJ/mol of formula units. For the calculated volume, the calculation gives 150.50 Å³ per cell.

(2)
The following is a GGA-PBE calculation of a relaxed structure of Cu4Ag3, from the Open Quantum Materials Database.

Geometry as POSCAR:
```
Cu4Ag3
1.0
1.382 0.798 15.494
-1.382 0.798 15.494
0.000 -1.595 15.494
Cu Ag
4 3
Direct
0.145 0.145 0.145
0.285 0.285 0.285
0.715 0.715 0.715
0.855 0.855 0.855
0.000 0.000 0.000
0.430 0.430 0.430
0.570 0.570 0.570
```

Output
As for the energy above the most stable polymorph in this dataset: 47 kJ/mol of formula units. For the calculated volume, the calculation gives 102.46 Å³ per cell.

(3)
The following is a GGA-PBE calculation of a relaxed structure of Cu7Ag2, from the Open Quantum Materials Database.

Geometry as POSCAR:
```
Cu7Ag2
1.0
5.648 -1.340 0.000
5.648 1.340 0.000
-1.911 0.000 7.855
Cu Ag
7 2
Direct
0.000 0.000 0.000
0.007 0.007 0.664
0.341 0.341 0.111
0.341 0.341 0.451
0.659 0.659 0.549
0.659 0.659 0.889
0.993 0.993 0.336
0.330 0.330 0.775
0.670 0.670 0.225
```

Output
As for the energy above the most stable polymorph in this dataset: 28 kJ/mol of formula units. For the calculated volume, the calculation gives 118.87 Å³ per cell.